No. 1
A relaxed Mg2Ga5Pd12 crystal. Source: Alexandria via LeMat-Bulk, functional PBE.

Geometry as extended XYZ:
```
19
Lattice="5.635 0.000 0.000 -2.818 7.241 0.167 0.000 -2.334 7.943" Properties=species:S:1:pos:R:3 pbc="T T T"
Mg 4.241 0.000 0.000
Mg 1.394 0.000 0.000
Ga 0.000 2.957 5.158
Ga 0.000 4.659 1.295
Ga 0.000 -1.167 3.971
Ga 2.818 0.247 6.814
Ga 2.818 1.949 2.951
Pd 0.000 0.623 2.287
Pd -1.417 2.386 7.177
Pd 1.417 2.386 7.177
Pd -1.409 4.075 3.342
Pd 1.409 4.075 3.342
Pd 0.000 5.473 5.511
Pd 2.818 -0.567 2.599
Pd 4.226 0.832 4.768
Pd 1.409 0.832 4.768
Pd 4.234 2.521 0.932
Pd 1.401 2.521 0.932
Pd 2.818 4.284 5.823
```

Density in Mg/m³: 8.5

No. 2
A relaxed Mg3Ga4Pd2 crystal. Source: Alexandria via LeMat-Bulk, functional PBE.

Geometry as extended XYZ:
```
9
Lattice="4.540 0.000 0.000 -2.270 4.897 -0.620 0.000 -3.112 7.429" Properties=species:S:1:pos:R:3 pbc="T T T"
Mg 2.270 -0.479 4.767
Mg 0.000 0.000 0.000
Mg 0.000 2.265 2.042
Ga 2.270 1.823 0.007
Ga 0.000 -0.037 6.802
Ga 2.270 2.278 3.873
Ga 0.000 -0.492 2.936
Pd 2.270 0.201 1.952
Pd 0.000 1.585 4.857
```

Offset from the most stable computed form in meV per atom: 0.0
Density in Mg/m³: 6.0

No. 3
A relaxed MgGa2Pd3 crystal. Source: Alexandria via LeMat-Bulk, functional PBE.

Geometry as extended XYZ:
```
12
Lattice="-0.333 -2.202 -3.812 3.879 0.207 2.099 -2.456 -9.023 5.428" Properties=species:S:1:pos:R:3 pbc="T T T"
Mg 0.834 -6.626 3.755
Mg 0.256 -4.393 -0.041
Ga -1.228 -4.512 2.714
Ga 2.050 -2.157 1.067
Ga -0.960 -8.862 2.648
Ga 0.000 0.000 0.000
Pd 1.448 -4.371 2.399
Pd 0.890 -2.067 -1.440
Pd -1.864 -6.849 4.120
Pd -0.592 -2.174 1.308
Pd 0.201 -8.952 5.155
Pd -0.357 -6.648 1.316
```

Offset from the most stable computed form in meV per atom: 0.0
Density in Mg/m³: 8.8

No. 4
A relaxed Mg3Ga6Pd5 crystal. Source: Alexandria via LeMat-Bulk, functional PBE.

Geometry as extended XYZ:
```
28
Lattice="-1.025 -3.683 -1.503 9.774 -2.513 -0.509 -0.520 -4.163 10.554" Properties=species:S:1:pos:R:3 pbc="T T T"
Mg 2.133 -3.633 7.446
Mg 6.642 -4.617 1.169
Mg 6.348 -6.966 7.125
Mg 2.645 -0.680 -0.138
Mg 6.357 -5.756 4.154
Mg 2.360 -1.819 2.847
Ga 9.220 -5.956 8.305
Ga -0.739 -4.643 6.266
Ga 3.003 -6.401 8.022
Ga 5.606 -3.415 -1.071
Ga 3.396 -3.021 5.087
Ga 5.479 -4.198 6.549
Ga 5.634 -2.956 3.400
Ga 8.801 -4.236 -1.237
Ga 9.568 -3.171 1.244
Ga 3.368 -3.480 0.617
Ga 0.200 -2.200 5.253
Ga -0.566 -3.265 2.773
Pd 4.927 -5.018 8.936
Pd 7.932 -4.782 6.306
Pd 7.834 -2.014 -0.408
Pd 3.555 -5.580 5.635
Pd 1.168 -4.422 4.424
Pd 5.315 -1.911 1.058
Pd 3.687 -4.525 2.958
Pd 8.076 -3.630 3.387
Pd 0.550 -5.817 8.264
Pd 0.926 -2.806 0.629
```

Density in Mg/m³: 7.2

No. 5
A relaxed MgGa6Pd3 crystal. Source: Alexandria via LeMat-Bulk, functional PBE.

Geometry as extended XYZ:
```
20
Lattice="-2.342 -6.279 -0.617 1.949 -0.066 -6.735 5.564 -2.574 5.074" Properties=species:S:1:pos:R:3 pbc="T T T"
Mg 2.585 -4.459 -1.139
Mg 0.000 0.000 0.000
Ga 4.807 -2.809 -2.865
Ga 4.616 -1.870 0.012
Ga 4.109 -4.097 1.558
Ga 1.062 -4.821 -3.836
Ga 0.555 -7.048 -2.289
Ga 0.364 -6.109 0.587
Ga 0.722 -2.370 -2.121
Ga 1.733 -3.499 -6.176
Ga 2.696 -1.785 -4.242
Ga 2.474 -7.133 1.964
Ga 3.437 -5.419 3.898
Ga 4.448 -6.548 -0.157
Pd 3.164 -6.763 -2.572
Pd 1.611 -4.426 2.228
Pd 2.006 -2.155 0.294
Pd -0.316 -4.703 -1.669
Pd 0.974 -0.033 -3.367
Pd 5.486 -4.215 -0.609
```

Density in Mg/m³: 7.4

No. 6
A relaxed Mg2GaPd crystal. Source: Alexandria via LeMat-Bulk, functional PBE.

Geometry as extended XYZ:
```
4
Lattice="-2.502 -1.476 1.510 0.611 -2.747 -1.673 4.009 -1.976 4.710" Properties=species:S:1:pos:R:3 pbc="T T T"
Mg 3.070 -1.513 3.607
Mg 0.939 -0.463 1.103
Ga 1.059 -3.100 2.274
Pd -0.946 -2.112 -0.081
```

Density in Mg/m³: 5.4

Listing ΔH_f (0 K) for the structures above in their given order: -0.42, -0.44, -0.67, -0.53, -0.38, -0.46 eV/atom.